An optimized crystal structure of BaTaBi2. Source: Alexandria, functional PBE.

abc: 7.7852 7.7852 7.7852
angles: 90.00 90.00 90.00
With the nearest neighbours (Å) after each atom.
Space group Fm-3m (No. 225)
Inequivalent atoms, fractional coordinates:
Ba  0.0000  0.0000  0.0000  8 Bi 3.37
Ta  0.0000  0.0000  0.5000  8 Bi 3.37
Bi  0.2500  0.2500  0.2500  4 Ba 3.37, 4 Ta 3.37

**Total magnetic moment**: 0.46 μB per atom
**ΔH_f (0 K)**: 0.2986 eV per atom
**Energy**: -81.4 eV/cell
**D(E_F)**: 2.8 states/eV/f.u.